Material: Nd12Ho3Ga5
Method: DFT, PBE
State: relaxed

Unit cell a=15.7067 b=15.7067 c=15.7067 alpha=109.47 beta=109.47 gamma=109.47
Closest atoms and distances in Å follow each position.
Positions (direct):
Ho 0.7500 0.3750 0.1250  8 Nd 3.36-3.63
Ho 0.8750 0.7500 0.1250  8 Nd 3.36-3.63
Ho 0.3750 0.7500 0.6250  8 Nd 3.36-3.63
Ho 0.2500 0.1250 0.3750  8 Nd 3.36-3.63
Ho 0.8750 0.1250 0.2500  8 Nd 3.36-3.63
Ho 0.3750 0.6250 0.2500  8 Nd 3.36-3.63
Ho 0.6250 0.3750 0.7500  8 Nd 3.36-3.63
Ho 0.1250 0.8750 0.7500  8 Nd 3.36-3.63
Ho 0.7500 0.8750 0.6250  8 Nd 3.36-3.63
Ho 0.6250 0.2500 0.3750  8 Nd 3.36-3.63
Ho 0.1250 0.2500 0.8750  8 Nd 3.36-3.63
Ho 0.2500 0.6250 0.8750  8 Nd 3.36-3.63
Ga 0.1250 0.3750 0.2500  4 Nd 2.87
Ga 0.0000 0.5000 0.0000  6 Nd 2.93
Ga 0.0000 0.0000 0.0000  6 Nd 2.93
Ga 0.3750 0.2500 0.1250  4 Nd 2.87
Ga 0.5000 0.0000 0.5000  6 Nd 2.93
Ga 0.5000 0.5000 0.0000  6 Nd 2.93
Ga 0.1250 0.7500 0.3750  4 Nd 2.87
Ga 0.7500 0.1250 0.8750  4 Nd 2.87
Ga 0.7500 0.6250 0.3750  4 Nd 2.87
Ga 0.3750 0.1250 0.7500  4 Nd 2.87
Ga 0.6250 0.8750 0.2500  4 Nd 2.87
Ga 0.5000 0.5000 0.5000  6 Nd 2.93
Ga 0.5000 0.0000 0.0000  6 Nd 2.93
Ga 0.0000 0.0000 0.5000  6 Nd 2.93
Ga 0.2500 0.3750 0.6250  4 Nd 2.87
Ga 0.2500 0.8750 0.1250  4 Nd 2.87
Ga 0.0000 0.5000 0.5000  6 Nd 2.93
Ga 0.8750 0.2500 0.6250  4 Nd 2.87
Ga 0.6250 0.7500 0.8750  4 Nd 2.87
Ga 0.8750 0.6250 0.7500  4 Nd 2.87
Nd 0.7113 0.1134 0.0382  2 Ga 2.87-2.93
Nd 0.3269 0.5382 0.4248  2 Ga 2.87-2.93
Nd 0.9618 0.3866 0.2887  2 Ga 2.87-2.93
Nd 0.5382 0.2113 0.1134  2 Ga 2.87-2.93
Nd 0.5979 0.7113 0.6731  2 Ga 2.87-2.93
Nd 0.9618 0.5752 0.1731  2 Ga 2.87-2.93
Nd 0.3269 0.7887 0.4021  2 Ga 2.87-2.93
Nd 0.0752 0.9021 0.1134  2 Ga 2.87-2.93
Nd 0.5752 0.9618 0.6731  2 Ga 2.87-2.93
Nd 0.7113 0.5979 0.1731  2 Ga 2.87-2.93
Nd 0.7887 0.4618 0.3866  2 Ga 2.87-2.93
Nd 0.8269 0.9248 0.0382  2 Ga 2.87-2.93
Nd 0.1134 0.7113 0.5382  2 Ga 2.87-2.93
Nd 0.3866 0.4248 0.0979  2 Ga 2.87-2.93
Nd 0.0979 0.9248 0.3866  2 Ga 2.87-2.93
Nd 0.4021 0.1134 0.5752  2 Ga 2.87-2.93
Nd 0.0979 0.1731 0.2113  2 Ga 2.87-2.93
Nd 0.4618 0.6731 0.0752  2 Ga 2.87-2.93
Nd 0.8269 0.9021 0.2887  2 Ga 2.87-2.93
Nd 0.1134 0.4021 0.0752  2 Ga 2.87-2.93
Nd 0.3866 0.9618 0.7887  2 Ga 2.87-2.93
Nd 0.5752 0.6134 0.4021  2 Ga 2.87-2.93
Nd 0.9248 0.8269 0.5382  2 Ga 2.87-2.93
Nd 0.7887 0.3269 0.9021  2 Ga 2.87-2.93
Nd 0.4248 0.3866 0.5979  2 Ga 2.87-2.93
Nd 0.0752 0.1731 0.4618  2 Ga 2.87-2.93
Nd 0.2113 0.6731 0.0979  2 Ga 2.87-2.93
Nd 0.1731 0.0979 0.7113  2 Ga 2.87-2.93
Nd 0.6134 0.0382 0.2113  2 Ga 2.87-2.93
Nd 0.8866 0.5979 0.9248  2 Ga 2.87-2.93
Nd 0.5382 0.3269 0.9248  2 Ga 2.87-2.93
Nd 0.5979 0.8866 0.4248  2 Ga 2.87-2.93
Nd 0.9021 0.8269 0.7887  2 Ga 2.87-2.93
Nd 0.9021 0.0752 0.6134  2 Ga 2.87-2.93
Nd 0.8866 0.2887 0.4618  2 Ga 2.87-2.93
Nd 0.1731 0.0752 0.9618  2 Ga 2.87-2.93
Nd 0.6134 0.5752 0.9021  2 Ga 2.87-2.93
Nd 0.4248 0.0382 0.3269  2 Ga 2.87-2.93
Nd 0.2887 0.4021 0.8269  2 Ga 2.87-2.93
Nd 0.2113 0.5382 0.6134  2 Ga 2.87-2.93
Nd 0.9248 0.0979 0.8866  2 Ga 2.87-2.93
Nd 0.6731 0.2113 0.5979  2 Ga 2.87-2.93
Nd 0.4618 0.7887 0.8866  2 Ga 2.87-2.93
Nd 0.0382 0.4248 0.8269  2 Ga 2.87-2.93
Nd 0.4021 0.2887 0.3269  2 Ga 2.87-2.93
Nd 0.0382 0.6134 0.7113  2 Ga 2.87-2.93
Nd 0.6731 0.4618 0.5752  2 Ga 2.87-2.93
Nd 0.2887 0.8866 0.9618  2 Ga 2.87-2.93

Results
- space group = No. 230
- calculated density (Mg/m³) = 5.73
- DFT formation energy (meV per atom) = 344

Material: NdHoGaNi
Method: DFT, PBE
State: relaxed

Unit cell a=5.0153 b=5.0153 c=5.0153 alpha=60.00 beta=60.00 gamma=60.00
Closest atoms and distances in Å follow each position.
Positions (direct):
Ni 0.2500 0.2500 0.2500  4 Ho 3.07, 4 Nd 3.07
Nd 0.5000 0.5000 0.5000  4 Ga 3.07, 4 Ni 3.07
Ho 0.0000 0.0000 0.0000  4 Ni 3.07, 4 Ga 3.07
Ga 0.7500 0.7500 0.7500  4 Ho 3.07, 4 Nd 3.07

Results
- space group = No. 216
- calculated density (Mg/m³) = 8.15
- DFT formation energy (meV per atom) = -386

Question: Look up the calculated density of the first one.
Answer: 5.73 Mg/m³